No. 1
Material: ScBeAs2
Method: DFT, PBE
State: optimized geometry

Summary:
E_form in eV/atom: -0.32

a b c (Å): 3.721 3.735 9.620
angles (deg): 90.00 90.00 90.00
Fractional coordinates of all 8 atoms:
Sc (0.000, 0.000, 0.000)
Sc (0.500, 0.500, 0.500)
Be (0.000, 0.500, 0.248)
Be (0.500, 0.000, 0.748)
As (0.000, 0.000, 0.502)
As (0.000, 0.500, 0.751)
As (0.500, 0.000, 0.251)
As (0.500, 0.500, 0.002)



No. 2
Material: PmTl2Pd9
Method: DFT, PBE
State: optimized geometry

Summary:
Energy above the lowest structure with this stoichiometry in eV per atom: 0.088
E_form in eV/atom: -0.31

a b c (Å): 9.358 9.358 9.358
angles (deg): 33.64 33.64 33.64
Fractional coordinates of all 12 atoms:
Pm (0.000, 0.000, 0.000)
Tl (0.139, 0.139, 0.139)
Tl (0.861, 0.861, 0.861)
Pd (0.081, 0.587, 0.587)
Pd (0.333, 0.333, 0.333)
Pd (0.413, 0.413, 0.919)
Pd (0.413, 0.919, 0.413)
Pd (0.500, 0.500, 0.500)
Pd (0.587, 0.081, 0.587)
Pd (0.587, 0.587, 0.081)
Pd (0.667, 0.667, 0.667)
Pd (0.919, 0.413, 0.413)